A plane-wave DFT calculation with PBE was carried out for an optimized crystal structure of Tl2CdH2.

Properties
- Electronic total energy: -2.1544 eV/atom
- ρ: 8.449 g cm⁻³
- Space group: I4/mmm

```
5
Lattice="3.840 0.000 0.000 0.000 3.840 0.000 1.920 1.920 6.974" Properties=species:S:1:pos:R:3 pbc="T T T"
H 3.840 1.920 3.487
H 1.920 3.840 3.487
Tl 1.920 1.920 2.147
Tl 3.840 3.840 4.827
Cd 0.000 0.000 0.000
```